Compound: BaV2InO8
Source: Alexandria via LeMat-Bulk
Functional: GGA+U
Structure: relaxed

POSCAR file:
```
BaV2InO8
1.0
-1.5143 0.7674 5.4616
-3.5956 -2.5692 -3.6306
2.9900 -6.6831 1.7680
V O Ba In
2 8 1 1
Cartesian
-0.6443 -6.5032 0.7351
-1.4757 -1.9818 2.8639
-2.1492 -0.4764 2.4656
-1.2075 -6.6124 -0.9185
-0.1580 -2.2677 1.7480
-2.7436 -3.1756 2.6888
-1.9620 -6.2172 1.8510
0.6236 -5.3093 0.9102
0.0293 -8.0085 1.1333
-0.9125 -1.8725 4.5174
0.0000 0.0000 0.0000
1.4950 -3.3416 0.8840
```

energy: -0.503 Ry/atom
symmetry: P-3 (147)
M_tot: 0.090 μB/atom
crystal system: trigonal

Compound: Ba3VIn2O8
Source: Alexandria via LeMat-Bulk
Functional: GGA+U
Structure: relaxed

POSCAR file:
```
Ba3VIn2O8
1.0
5.8953 0.0000 0.0000
-2.9477 5.1055 0.0000
0.0000 0.0000 7.7448
O V In Ba
8 1 2 3
Cartesian
0.0000 1.5855 2.6702
0.0000 3.4037 7.3864
2.9477 3.5201 5.0746
2.9477 1.7018 0.3584
4.5223 0.7927 5.0746
1.3730 0.7927 5.0746
-1.5746 4.3128 2.6702
1.5746 4.3128 2.6702
0.0000 0.0000 3.8724
0.0000 3.4037 1.6211
2.9477 1.7018 6.1237
0.0000 0.0000 0.0000
2.9477 1.7018 2.8154
0.0000 3.4037 4.9294
```

energy: -0.455 Ry/atom
symmetry: P-3m1 (164)
M_tot: 0.071 μB/atom
crystal system: trigonal

Compound: BaVInWO6
Source: Alexandria via LeMat-Bulk
Functional: GGA+U
Structure: relaxed

POSCAR file:
```
BaVInWO6
1.0
0.0000 4.0680 4.0680
4.0680 0.0000 4.0680
4.0680 4.0680 0.0000
O Ba In W V
6 1 1 1 1
Cartesian
2.0985 4.0680 4.0680
4.0680 6.0375 4.0680
4.0680 4.0680 6.0375
4.0680 2.0985 4.0680
4.0680 4.0680 2.0985
6.0375 4.0680 4.0680
2.0340 2.0340 2.0340
6.1020 6.1020 6.1020
4.0680 4.0680 4.0680
0.0000 0.0000 0.0000
```

energy: -0.507 Ry/atom
symmetry: F-43m (216)
M_tot: 0.220 μB/atom
crystal system: cubic

Compound: BaInW2O8
Source: Alexandria via LeMat-Bulk
Functional: GGA+U
Structure: relaxed

POSCAR file:
```
BaInW2O8
1.0
5.4632 0.0000 0.0000
2.7316 4.7313 0.0000
2.7316 1.5771 8.0743
O W In Ba
8 2 1 1
Cartesian
7.3482 3.1965 5.5452
4.5574 4.8077 2.5291
4.4842 4.7655 5.5452
4.4842 1.5429 2.5291
8.1949 4.7313 7.8588
7.3482 3.1119 2.5291
4.5574 1.5007 5.5452
2.7316 1.5771 0.2155
2.7316 1.5771 2.0243
8.1949 4.7313 6.0501
5.4632 3.1542 4.0372
0.0000 0.0000 0.0000
```

energy: -0.499 Ry/atom
symmetry: R32 (155)
M_tot: 0.073 μB/atom
crystal system: trigonal

Compound: Ba3In2WO9
Source: Alexandria via LeMat-Bulk
Functional: GGA+U
Structure: relaxed

POSCAR file:
```
Ba3In2WO9
1.0
5.9753 0.0000 0.0000
-2.9877 5.1748 0.0000
0.0000 0.0000 7.3222
O Ba In W
9 3 2 1
Cartesian
1.5925 4.3693 6.2018
2.9877 0.0000 3.6611
2.9877 3.5638 1.1204
0.0000 1.6110 6.2018
-1.5925 4.3693 6.2018
1.3952 0.8055 1.1204
-1.4938 2.5874 3.6611
1.4938 2.5874 3.6611
4.5802 0.8055 1.1204
0.0000 3.4499 1.3814
0.0000 0.0000 3.6611
2.9877 1.7249 5.9407
2.9877 1.7249 2.4387
0.0000 3.4499 4.8834
0.0000 0.0000 0.0000
```

energy: -0.476 Ry/atom
symmetry: P-3m1 (164)
offset from the most stable computed form: 0.13 eV/f.u.
M_tot: 0.000 μB/atom
crystal system: trigonal

Compound: BaIn2WO
Source: Alexandria via LeMat-Bulk
Functional: GGA+U
Structure: relaxed

POSCAR file:
```
BaIn2WO
1.0
6.1305 0.0000 0.0000
0.0000 3.9784 0.0000
0.0000 0.0000 6.1305
Ba W In O
1 1 2 1
Cartesian
3.0653 1.9892 3.0653
0.0000 1.9892 0.0000
3.0653 0.0000 0.0000
0.0000 0.0000 3.0653
0.0000 0.0000 0.0000
```

energy: -0.300 Ry/atom
symmetry: P4/mmm (123)
M_tot: 0.613 μB/atom
crystal system: tetragonal

Compound: Ba3In2WO9
Source: Alexandria via LeMat-Bulk
Functional: GGA+U
Structure: relaxed

POSCAR file:
```
Ba3In2WO9
1.0
-5.7109 -2.2984 8.3315
-7.9245 -6.6223 -0.8114
10.1832 1.4723 -1.2023
O W Ba In
18 2 6 4
Cartesian
0.4117 -4.5702 -0.7878
3.3900 -0.6262 5.4039
-2.7388 -3.5384 1.3081
-3.2835 -3.1555 4.3872
-7.9504 -6.2088 6.9611
-2.8240 -5.2492 6.1786
-0.7134 -3.9100 5.0098
4.4983 -1.2396 -0.6433
3.9860 -0.9280 2.4072
-3.8639 -2.8783 7.1057
-5.0698 -4.9709 2.6044
-0.6282 -2.1992 0.1392
-1.7816 -1.4744 5.9621
1.6176 -2.4775 3.7134
-7.4382 -6.5204 3.9107
-0.1687 -4.2929 1.9307
1.0823 -0.1999 1.7253
-1.6706 -5.9740 0.3558
-2.2995 -3.3805 6.0661
-1.1526 -4.0679 0.2517
-2.4136 -5.7980 3.2618
2.3217 -2.7952 0.8938
1.1190 -2.0490 6.4954
-5.7739 -4.6532 5.4240
-4.5712 -5.3994 -0.1776
-1.0386 -1.6505 3.0560
-9.1317 -5.9743 5.0363
2.2362 -0.4130 3.5646
-4.5037 -2.9465 2.4839
0.0000 0.0000 0.0000
```

energy: -0.477 Ry/atom
symmetry: Immm (71)
offset from the most stable computed form: 0.00 eV/f.u.
M_tot: 0.000 μB/atom
crystal system: orthorhombic

Compound: BaInWO6
Source: Alexandria via LeMat-Bulk
Functional: GGA+U
Structure: relaxed

POSCAR file:
```
BaInWO6
1.0
5.5923 0.0000 -0.0001
2.7962 4.8431 0.0001
0.0001 -0.0002 5.6208
O In W Ba
6 1 1 1
Cartesian
1.8262 2.8845 3.9383
2.1810 0.1392 3.9383
3.4112 0.1392 1.6823
4.3811 1.8191 3.9383
3.7660 2.8845 1.6824
1.2111 1.8192 1.6824
5.5922 3.2287 2.8103
2.7961 1.6142 2.8103
5.5923 -0.0002 5.6206
```

energy: -0.482 Ry/atom
symmetry: P312 (149)
M_tot: 0.118 μB/atom
crystal system: trigonal

Compound: Ba2InWO6
Source: Alexandria via LeMat-Bulk
Functional: GGA+U
Structure: relaxed

POSCAR file:
```
Ba2InWO6
1.0
6.0099 0.0000 0.0000
3.0049 5.2047 0.0000
3.0049 1.7349 10.0187
O In Ba W
12 2 4 2
Cartesian
4.3902 4.4050 1.1219
7.6296 4.4050 1.1219
6.0099 1.5995 1.1219
4.5888 4.2903 6.3001
4.5888 2.6493 3.7185
4.3902 2.5347 8.8968
6.0099 5.3401 8.8968
7.4310 4.2903 6.3001
7.6296 2.5347 8.8968
6.0099 1.8289 6.3001
7.4310 2.6493 3.7185
6.0099 5.1107 3.7185
6.0099 3.4698 7.8384
6.0099 3.4698 2.1802
3.0049 1.7349 1.7152
3.0049 1.7349 5.9771
9.0148 5.2047 4.0415
9.0148 5.2047 8.3035
0.0000 0.0000 0.0000
6.0099 3.4698 5.0093
```

energy: -0.483 Ry/atom
symmetry: R-3m (166)
M_tot: 0.100 μB/atom
crystal system: trigonal

Compound: BaYInWO6
Source: Alexandria via LeMat-Bulk
Functional: GGA+U
Structure: relaxed

POSCAR file:
```
BaYInWO6
1.0
0.0000 4.2420 4.2420
4.2420 0.0000 4.2420
4.2420 4.2420 0.0000
In O W Y Ba
1 6 1 1 1
Cartesian
2.1210 2.1210 2.1210
6.5200 4.2420 4.2420
4.2420 4.2420 1.9640
4.2420 1.9640 4.2420
1.9640 4.2420 4.2420
4.2420 6.5200 4.2420
4.2420 4.2420 6.5200
0.0000 0.0000 0.0000
4.2420 4.2420 4.2420
6.3630 6.3630 6.3630
```

energy: -0.533 Ry/atom
symmetry: F-43m (216)
M_tot: 0.000 μB/atom
crystal system: cubic